LaIn3Ni2 after structural relaxation, computed with PBE.

abc: 7.2814 7.2814 7.2814
angles: 58.68 58.68 58.68
Fractional positions:
La: 0.2413 0.2413 0.2413
La: 0.7587 0.7587 0.7587
In: 0.2521 0.7341 0.7341
In: 0.2659 0.2659 0.7479
In: 0.2659 0.7479 0.2659
In: 0.7341 0.2521 0.7341
In: 0.7341 0.7341 0.2521
In: 0.7479 0.2659 0.2659
Ni: 0.0000 0.0000 0.0000
Ni: 0.0000 0.5000 0.5000
Ni: 0.5000 0.0000 0.5000
Ni: 0.5000 0.5000 0.0000

Output
formation energy = -1.04 eV/f.u.
DFT total energy = -4.291 eV/atom
mass density = 7.54 g/cm³
total moment = 0.00 μB per formula unit

La4InNi after structural relaxation, computed with PBE.

abc: 6.3940 6.3940 6.3940
angles: 60.00 60.00 60.00
Fractional positions:
La: 0.1249 0.1249 0.1249
La: 0.1249 0.1249 0.6254
La: 0.1249 0.6254 0.1249
La: 0.6254 0.1249 0.1249
In: 0.5000 0.5000 0.5000
Ni: 0.7500 0.7500 0.7500

Output
formation energy = 2.65 eV/f.u.
offset from the most stable computed form = 726 meV/atom
DFT total energy = -4.263 eV/atom
mass density = 6.55 g/cm³
total moment = 0.01 μB per formula unit

La2InNi2 after structural relaxation, computed with PBE.

abc: 7.6582 7.6582 3.8888
angles: 90.00 90.00 90.00
Fractional positions:
La: 0.1762 0.3238 0.0000
La: 0.3238 0.8238 0.0000
La: 0.6762 0.1762 0.0000
La: 0.8238 0.6762 0.0000
In: 0.0000 0.0000 0.5000
In: 0.5000 0.5000 0.5000
Ni: 0.1190 0.6190 0.5000
Ni: 0.3810 0.1190 0.5000
Ni: 0.6190 0.8810 0.5000
Ni: 0.8810 0.3810 0.5000

Output
formation energy = -2.27 eV/f.u.
DFT total energy = -5.285 eV/atom
mass density = 7.43 g/cm³
total moment = 0.00 μB per formula unit

LaIn2Ni after structural relaxation, computed with PBE.

abc: 6.0789 6.0789 6.0789
angles: 44.27 44.27 44.27
Fractional positions:
La: 0.0000 0.0000 0.0000
In: 0.5402 0.5402 0.5402
In: 0.7879 0.7879 0.7879
Ni: 0.1850 0.1850 0.1850

Output
formation energy = -1.28 eV/f.u.
DFT total energy = -4.367 eV/atom
mass density = 7.13 g/cm³
total moment = 0.00 μB per formula unit

La11In9Ni4 after structural relaxation, computed with PBE.

abc: 13.6117 13.6117 3.8511
angles: 90.00 90.00 112.48
Fractional positions:
La: 0.0000 0.0000 0.0000
La: 0.0779 0.4174 0.0000
La: 0.1607 0.8393 0.0000
La: 0.3136 0.3136 0.0000
La: 0.3745 0.6255 0.0000
La: 0.4174 0.0779 0.0000
La: 0.5826 0.9221 0.0000
La: 0.6255 0.3745 0.0000
La: 0.6864 0.6864 0.0000
La: 0.8393 0.1607 0.0000
La: 0.9221 0.5826 0.0000
In: 0.0825 0.2206 0.5000
In: 0.1637 0.6340 0.5000
In: 0.2206 0.0825 0.5000
In: 0.3660 0.8363 0.5000
In: 0.5000 0.5000 0.5000
In: 0.6340 0.1637 0.5000
In: 0.7794 0.9175 0.5000
In: 0.8363 0.3660 0.5000
In: 0.9175 0.7794 0.5000
Ni: 0.2431 0.4469 0.5000
Ni: 0.4469 0.2431 0.5000
Ni: 0.5531 0.7569 0.5000
Ni: 0.7569 0.5531 0.5000

Output
formation energy = -12.18 eV/f.u.
DFT total energy = -4.756 eV/atom
mass density = 7.04 g/cm³
total moment = 0.00 μB per formula unit

La5InNi2 after structural relaxation, computed with PBE.

abc: 9.0068 9.0068 9.0068
angles: 126.62 126.62 78.87
Fractional positions:
La: 0.0000 0.0000 0.0000
La: 0.0215 0.5215 0.8158
La: 0.2057 0.0215 0.5000
La: 0.2943 0.7943 0.8158
La: 0.4785 0.2943 0.5000
La: 0.5000 0.5000 0.0000
La: 0.5215 0.7057 0.5000
La: 0.7057 0.2057 0.1842
La: 0.7943 0.9785 0.5000
La: 0.9785 0.4785 0.1842
In: 0.2500 0.2500 0.0000
In: 0.7500 0.7500 0.0000
Ni: 0.1232 0.3768 0.5000
Ni: 0.3768 0.8768 0.2536
Ni: 0.6232 0.1232 0.7464
Ni: 0.8768 0.6232 0.5000

Output
formation energy = -2.42 eV/f.u.
DFT total energy = -5.169 eV/atom
mass density = 6.76 g/cm³
total moment = 0.00 μB per formula unit

La12InNi6 after structural relaxation, computed with PBE.

abc: 8.8730 8.8730 8.8730
angles: 109.47 109.47 109.47
Fractional positions:
La: 0.1289 0.8183 0.3106
La: 0.1817 0.3106 0.4922
La: 0.1817 0.6894 0.8711
La: 0.3106 0.1289 0.8183
La: 0.3106 0.4922 0.1817
La: 0.4922 0.1817 0.3106
La: 0.5078 0.8183 0.6894
La: 0.6894 0.5078 0.8183
La: 0.6894 0.8711 0.1817
La: 0.8183 0.3106 0.1289
La: 0.8183 0.6894 0.5078
La: 0.8711 0.1817 0.6894
In: 0.0000 0.0000 0.0000
Ni: 0.1250 0.6250 0.5000
Ni: 0.3750 0.5000 0.8750
Ni: 0.5000 0.1250 0.6250
Ni: 0.5000 0.8750 0.3750
Ni: 0.6250 0.5000 0.1250
Ni: 0.8750 0.3750 0.5000

Output
formation energy = -5.76 eV/f.u.
DFT total energy = -5.385 eV/atom
mass density = 6.59 g/cm³
total moment = 0.00 μB per formula unit

LaInNi17 after structural relaxation, computed with PBE.

abc: 6.2601 6.2601 6.2601
angles: 83.06 83.06 83.06
Fractional positions:
La: 0.0000 0.0000 0.0000
In: 0.6857 0.6857 0.6857
Ni: 0.0498 0.3454 0.6344
Ni: 0.0498 0.6344 0.3454
Ni: 0.2023 0.6848 0.6848
Ni: 0.2480 0.2480 0.2480
Ni: 0.3394 0.3394 0.8488
Ni: 0.3394 0.8488 0.3394
Ni: 0.3454 0.0498 0.6344
Ni: 0.3454 0.6344 0.0498
Ni: 0.4469 0.4469 0.4469
Ni: 0.5039 0.9913 0.9913
Ni: 0.6344 0.0498 0.3454
Ni: 0.6344 0.3454 0.0498
Ni: 0.6848 0.2023 0.6848
Ni: 0.6848 0.6848 0.2023
Ni: 0.8488 0.3394 0.3394
Ni: 0.9913 0.5039 0.9913
Ni: 0.9913 0.9913 0.5039

Output
formation energy = -0.89 eV/f.u.
DFT total energy = -5.623 eV/atom
mass density = 8.65 g/cm³
total moment = 7.38 μB per formula unit

La3In4Ni2 after structural relaxation, computed with PBE.

abc: 6.2771 6.2771 9.2733
angles: 111.50 111.50 43.09
Fractional positions:
La: 0.0000 0.0000 0.0000
La: 0.3142 0.3142 0.3716
La: 0.6858 0.6858 0.6284
In: 0.0187 0.0187 0.3504
In: 0.2600 0.2600 0.9077
In: 0.7400 0.7400 0.0923
In: 0.9813 0.9813 0.6496
Ni: 0.3947 0.3947 0.7270
Ni: 0.6053 0.6053 0.2730

Output
formation energy = -3.99 eV/f.u.
DFT total energy = -4.588 eV/atom
mass density = 7.19 g/cm³
total moment = 0.00 μB per formula unit

La6In2Ni after structural relaxation, computed with PBE.

abc: 9.6916 10.5404 5.6210
angles: 90.00 90.00 90.00
Fractional positions:
La: 0.0073 0.2080 0.0000
La: 0.1373 0.4276 0.5000
La: 0.2364 0.0638 0.5000
La: 0.2636 0.5638 0.0000
La: 0.3627 0.9276 0.0000
La: 0.4927 0.7080 0.5000
La: 0.5073 0.2920 0.5000
La: 0.6373 0.0724 0.0000
La: 0.7364 0.4362 0.0000
La: 0.7636 0.9362 0.5000
La: 0.8627 0.5724 0.5000
La: 0.9927 0.7920 0.0000
In: 0.1629 0.7534 0.5000
In: 0.3371 0.2534 0.0000
In: 0.6629 0.7466 0.0000
In: 0.8371 0.2466 0.5000
Ni: 0.0000 0.5000 0.0000
Ni: 0.5000 0.0000 0.5000

Output
formation energy = -2.54 eV/f.u.
offset from the most stable computed form = 49 meV/atom
DFT total energy = -4.818 eV/atom
mass density = 6.49 g/cm³
total moment = 0.00 μB per formula unit

LaIn2Ni9 after structural relaxation, computed with PBE.

abc: 8.3370 8.3370 4.8778
angles: 90.00 90.00 90.00
Fractional positions:
La: 0.0000 0.0000 0.0000
La: 0.5000 0.5000 0.0000
In: 0.1237 0.3763 0.0000
In: 0.3763 0.8763 0.0000
In: 0.6237 0.1237 0.0000
In: 0.8763 0.6237 0.0000
Ni: 0.0000 0.5000 0.5000
Ni: 0.0663 0.2100 0.5000
Ni: 0.1759 0.6759 0.2504
Ni: 0.1759 0.6759 0.7496
Ni: 0.2100 0.9337 0.5000
Ni: 0.2900 0.4337 0.5000
Ni: 0.3241 0.1759 0.2504
Ni: 0.3241 0.1759 0.7496
Ni: 0.4337 0.7100 0.5000
Ni: 0.5000 0.0000 0.5000
Ni: 0.5663 0.2900 0.5000
Ni: 0.6759 0.8241 0.2504
Ni: 0.6759 0.8241 0.7496
Ni: 0.7100 0.5663 0.5000
Ni: 0.7900 0.0663 0.5000
Ni: 0.8241 0.3241 0.2504
Ni: 0.8241 0.3241 0.7496
Ni: 0.9337 0.7900 0.5000

Output
formation energy = -2.50 eV/f.u.
DFT total energy = -5.411 eV/atom
mass density = 8.78 g/cm³
total moment = 1.50 μB per formula unit

La3In7Ni4 after structural relaxation, computed with PBE.

abc: 8.5930 8.5930 10.0549
angles: 122.16 122.16 30.04
Fractional positions:
La: 0.0000 0.0000 0.0000
La: 0.3106 0.3106 0.2988
La: 0.6894 0.6894 0.7012
In: 0.0000 0.0000 0.5000
In: 0.1648 0.1648 0.4266
In: 0.3198 0.3198 0.9713
In: 0.4921 0.4921 0.7195
In: 0.5079 0.5079 0.2805
In: 0.6802 0.6802 0.0287
In: 0.8352 0.8352 0.5734
Ni: 0.1177 0.1177 0.8406
Ni: 0.3338 0.3338 0.7219
Ni: 0.6662 0.6662 0.2781
Ni: 0.8823 0.8823 0.1594

Output
formation energy = -5.51 eV/f.u.
DFT total energy = -4.471 eV/atom
mass density = 7.79 g/cm³
total moment = 0.00 μB per formula unit

LaIn2Ni after structural relaxation, computed with PBE.

abc: 6.2665 6.2665 6.2665
angles: 41.70 41.70 41.70
Fractional positions:
La: 0.0000 0.0000 0.0000
In: 0.2137 0.2137 0.2137
In: 0.7863 0.7863 0.7863
Ni: 0.5000 0.5000 0.5000

Output
formation energy = -1.26 eV/f.u.
DFT total energy = -4.362 eV/atom
mass density = 7.20 g/cm³
total moment = 0.00 μB per formula unit

La2InNi2 after structural relaxation, computed with PBE.

abc: 9.6100 9.6100 9.6100
angles: 158.46 158.46 30.65
Fractional positions:
La: 0.1316 0.1316 0.0000
La: 0.8684 0.8684 0.0000
In: 0.5000 0.5000 0.0000
Ni: 0.2500 0.7500 0.5000
Ni: 0.7500 0.2500 0.5000

Output
formation energy = -1.20 eV/f.u.
DFT total energy = -5.072 eV/atom
mass density = 7.08 g/cm³
total moment = 0.00 μB per formula unit

La4InNi2 after structural relaxation, computed with PBE.

abc: 5.7322 5.7322 14.4721
angles: 90.00 90.00 126.16
Fractional positions:
La: 0.0000 0.0000 0.0000
La: 0.0000 0.0000 0.5000
La: 0.2989 0.7011 0.6126
La: 0.2989 0.7011 0.8874
La: 0.3575 0.6425 0.2500
La: 0.6425 0.3575 0.7500
La: 0.7011 0.2989 0.1126
La: 0.7011 0.2989 0.3874
In: 0.0374 0.9626 0.2500
In: 0.9626 0.0374 0.7500
Ni: 0.3897 0.6103 0.0577
Ni: 0.3897 0.6103 0.4423
Ni: 0.6103 0.3897 0.5577
Ni: 0.6103 0.3897 0.9423

Output
formation energy = -2.02 eV/f.u.
offset from the most stable computed form = 0 meV/atom
DFT total energy = -5.147 eV/atom
mass density = 6.81 g/cm³
total moment = 0.00 μB per formula unit

LaIn4Ni2 after structural relaxation, computed with PBE.

abc: 18.3921 4.5426 7.0949
angles: 90.00 90.00 90.00
Fractional positions:
La: 0.1389 0.2500 0.0232
La: 0.3611 0.7500 0.5232
La: 0.6389 0.2500 0.4768
La: 0.8611 0.7500 0.9768
In: 0.0321 0.7500 0.8382
In: 0.0731 0.2500 0.5090
In: 0.1844 0.7500 0.3277
In: 0.1966 0.7500 0.7352
In: 0.3034 0.2500 0.2352
In: 0.3156 0.2500 0.8277
In: 0.4269 0.7500 0.0090
In: 0.4679 0.2500 0.3382
In: 0.5321 0.7500 0.6618
In: 0.5731 0.2500 0.9910
In: 0.6844 0.7500 0.1723
In: 0.6966 0.7500 0.7648
In: 0.8034 0.2500 0.2648
In: 0.8156 0.2500 0.6723
In: 0.9269 0.7500 0.4910
In: 0.9679 0.2500 0.1618
Ni: 0.0401 0.7500 0.2434
Ni: 0.2184 0.2500 0.5359
Ni: 0.2816 0.7500 0.0359
Ni: 0.4599 0.2500 0.7434
Ni: 0.5401 0.7500 0.2566
Ni: 0.7184 0.2500 0.9641
Ni: 0.7816 0.7500 0.4641
Ni: 0.9599 0.2500 0.7566

Output
formation energy = -2.28 eV/f.u.
offset from the most stable computed form = 0 meV/atom
DFT total energy = -4.247 eV/atom
mass density = 8.02 g/cm³
total moment = 0.00 μB per formula unit

LaIn8Ni2 after structural relaxation, computed with PBE.

abc: 6.2347 6.2347 8.2945
angles: 90.00 90.00 90.00
Fractional positions:
La: 0.0000 0.0000 0.0000
In: 0.2519 0.2519 0.3101
In: 0.2519 0.2519 0.6899
In: 0.2519 0.7481 0.3101
In: 0.2519 0.7481 0.6899
In: 0.7481 0.2519 0.3101
In: 0.7481 0.2519 0.6899
In: 0.7481 0.7481 0.3101
In: 0.7481 0.7481 0.6899
Ni: 0.0000 0.5000 0.5000
Ni: 0.5000 0.0000 0.5000

Output
formation energy = 0.41 eV/f.u.
DFT total energy = -3.453 eV/atom
mass density = 6.05 g/cm³
total moment = 0.00 μB per formula unit

LaIn8Ni4 after structural relaxation, computed with PBE.

abc: 7.2871 7.2871 7.2871
angles: 98.64 98.64 134.39
Fractional positions:
La: 0.0000 0.0000 0.0000
In: 0.0000 0.3367 0.3367
In: 0.0000 0.6633 0.6633
In: 0.2777 0.5000 0.7777
In: 0.3367 0.0000 0.3367
In: 0.5000 0.2777 0.7777
In: 0.5000 0.7223 0.2223
In: 0.6633 0.0000 0.6633
In: 0.7223 0.5000 0.2223
Ni: 0.0000 0.0000 0.5000
Ni: 0.0000 0.5000 0.0000
Ni: 0.5000 0.0000 0.0000
Ni: 0.5000 0.5000 0.5000

Output
formation energy = -2.29 eV/f.u.
DFT total energy = -4.019 eV/atom
mass density = 8.42 g/cm³
total moment = 0.00 μB per formula unit

LaIn4Ni4 after structural relaxation, computed with PBE.

abc: 6.0229 6.0229 9.3961
angles: 90.00 90.00 90.00
Fractional positions:
La: 0.2500 0.7500 0.2500
La: 0.7500 0.2500 0.7500
In: 0.0165 0.2500 0.0578
In: 0.2500 0.0165 0.5578
In: 0.2500 0.4835 0.5578
In: 0.4835 0.2500 0.0578
In: 0.5165 0.7500 0.9422
In: 0.7500 0.5165 0.4422
In: 0.7500 0.9835 0.4422
In: 0.9835 0.7500 0.9422
Ni: 0.0483 0.2500 0.3340
Ni: 0.2500 0.0483 0.8340
Ni: 0.2500 0.4517 0.8340
Ni: 0.4517 0.2500 0.3340
Ni: 0.5483 0.7500 0.6660
Ni: 0.7500 0.5483 0.1660
Ni: 0.7500 0.9517 0.1660
Ni: 0.9517 0.7500 0.6660

Output
formation energy = -1.53 eV/f.u.
offset from the most stable computed form = 0 meV/atom
DFT total energy = -4.504 eV/atom
mass density = 8.12 g/cm³
total moment = 0.00 μB per formula unit